This record from the Alexandria database describes a relaxed RbNaSrRh2 crystal. The functional is GGA-PBE.

Results
N(E_F) in states/eV per cell: 2.1
E_tot in eV per atom: -2.735

Lattice parameters (Å, degrees): 5.204 5.204 6.145 90.00 90.00 90.00
Fractional coordinates of all 5 atoms:
Rb 0.000 0.000 0.000
Na 0.500 0.500 0.000
Sr 0.000 0.000 0.500
Rh 0.000 0.500 0.500
Rh 0.500 0.000 0.500


This record from the Alexandria database describes a relaxed RbNaSr2Rh crystal. The functional is GGA-PBE.

Results
N(E_F) in states/eV per cell: 2.7
E_tot in eV per atom: -2.566
Distance to the lowest polymorph of the same formula in meV per atom: 0.0

Lattice parameters (Å, degrees): 5.865 5.865 6.178 90.00 90.00 90.00
Fractional coordinates of all 5 atoms:
Rb 0.000 0.000 0.000
Na 0.500 0.500 0.000
Sr 0.000 0.500 0.500
Sr 0.500 0.000 0.500
Rh 0.500 0.500 0.500


This record from the Alexandria database describes a relaxed Rb2NaTl6Rh crystal. The functional is GGA-PBE.

Results
N(E_F) in states/eV per cell: 8.5
E_tot in eV per atom: -2.491

Lattice parameters (Å, degrees): 7.631 7.631 6.760 90.00 90.00 120.00
Fractional coordinates of all 10 atoms:
Rb 0.333 0.667 0.160
Rb 0.667 0.333 0.840
Na 0.000 0.000 0.000
Tl 0.191 0.382 0.672
Tl 0.191 0.809 0.672
Tl 0.382 0.191 0.328
Tl 0.618 0.809 0.672
Tl 0.809 0.191 0.328
Tl 0.809 0.618 0.328
Rh 0.000 0.000 0.500


This record from the Alexandria database describes a relaxed Rb2NaRu2 crystal. The functional is GGA-PBE.

Results
N(E_F) in states/eV per cell: 10.8
E_tot in eV per atom: -3.235
Distance to the lowest polymorph of the same formula in meV per atom: 437.6

Lattice parameters (Å, degrees): 10.521 10.521 2.971 90.00 90.00 90.00
Fractional coordinates of all 10 atoms:
Rb 0.198 0.302 0.000
Rb 0.302 0.802 0.000
Rb 0.698 0.198 0.000
Rb 0.802 0.698 0.000
Na 0.000 0.000 0.000
Na 0.500 0.500 0.000
Ru 0.073 0.573 0.500
Ru 0.427 0.073 0.500
Ru 0.573 0.927 0.500
Ru 0.927 0.427 0.500


This record from the Alexandria database describes a relaxed Rb3NaRu crystal. The functional is GGA-PBE.

Results
N(E_F) in states/eV per cell: 5.9
E_tot in eV per atom: -1.749
Distance to the lowest polymorph of the same formula in meV per atom: 0.0

Lattice parameters (Å, degrees): 6.327 6.327 6.327 90.00 90.00 90.00
Fractional coordinates of all 5 atoms:
Rb 0.000 0.000 0.500
Rb 0.000 0.500 0.000
Rb 0.500 0.000 0.000
Na 0.500 0.500 0.500
Ru 0.000 0.000 0.000


This record from the Alexandria database describes a relaxed Rb2NaRu2 crystal. The functional is GGA-PBE.

Results
N(E_F) in states/eV per cell: 5.6
E_tot in eV per atom: -3.673
Distance to the lowest polymorph of the same formula in meV per atom: 0.0

Lattice parameters (Å, degrees): 13.719 13.719 13.719 165.19 165.19 21.00
Fractional coordinates of all 5 atoms:
Rb 0.139 0.139 0.000
Rb 0.861 0.861 0.000
Na 0.500 0.500 0.000
Ru 0.250 0.750 0.500
Ru 0.750 0.250 0.500


This record from the Alexandria database describes a relaxed RbNa2SrRu crystal. The functional is GGA-PBE.

Results
N(E_F) in states/eV per cell: 3.6
E_tot in eV per atom: -2.340

Lattice parameters (Å, degrees): 5.992 5.992 5.350 90.00 90.00 90.00
Fractional coordinates of all 5 atoms:
Rb 0.000 0.000 0.000
Na 0.000 0.500 0.500
Na 0.500 0.000 0.500
Sr 0.500 0.500 0.000
Ru 0.500 0.500 0.500


This record from the Alexandria database describes a relaxed RbNaSr2Ru crystal. The functional is GGA-PBE.

Results
N(E_F) in states/eV per cell: 6.0
E_tot in eV per atom: -1.721

Lattice parameters (Å, degrees): 6.400 6.400 6.031 90.00 90.00 90.00
Fractional coordinates of all 5 atoms:
Rb 0.000 0.000 0.000
Na 0.000 0.000 0.500
Sr 0.000 0.500 0.500
Sr 0.500 0.000 0.500
Ru 0.500 0.500 0.000


The evaluated ΔE_f for the records listed, in turn: 0.9989; 0.0345; -0.0111; 1.1262; 0.9503; 0.6885; 0.5723; 1.2641 eV/atom.
The evaluated mass density for the records listed, in turn: 4.01; 3.02; 7.42; 4.00; 2.49; 3.90; 2.77; 2.59 Mg/m³.
The evaluated calculated volume for the records listed, in turn: 166.4; 212.5; 340.9; 328.8; 253.3; 168.6; 192.1; 247.0 Å³ per cell.